{"formula": "Ac2La2Pr7", "functional": "PBE", "state": "optimized geometry", "final_energy_ev_per_fu": -50.412, "volume_a3_per_atom": 38.17, "relative_energy_mev_per_atom": 0, "n_ef_per_ev_atom": 1.49, "formation_energy_ev_per_atom": 0.101, "lattice_angstrom": [[11.001, 1.062, -1.518], [-1.138, 3.508, 1.012], [-2.794, -1.062, 10.748]], "species": ["Ac", "Ac", "Pr", "Pr", "Pr", "Pr", "Pr", "Pr", "Pr", "La", "La"], "frac_coords": [[0.800, 0.269, 0.200], [0.200, 0.731, 0.800], [0.404, 0.560, 0.596], [0.574, 0.855, 0.907], [0.907, 0.145, 0.574], [0.093, 0.855, 0.426], [0.596, 0.440, 0.404], [0.000, 0.000, 0.000], [0.426, 0.145, 0.093], [0.751, 0.500, 0.751], [0.249, 0.500, 0.249]]}


{"formula": "Ac13La3Pr2", "functional": "PBE", "state": "optimized geometry", "final_energy_ev_per_fu": -71.650, "volume_a3_per_atom": 47.17, "n_ef_per_ev_atom": 1.61, "formation_energy_ev_per_atom": 0.339, "lattice_angstrom": [[-1.963, -2.772, 6.337], [6.746, 2.281, -0.992], [-4.959, 17.286, 6.024]], "species": ["Ac", "Ac", "Ac", "Ac", "Ac", "Ac", "Ac", "Ac", "Ac", "Ac", "Ac", "Ac", "Ac", "Pr", "Pr", "La", "La", "La"], "frac_coords": [[0.500, 0.500, 0.500], [0.500, 0.000, 0.160], [0.000, 0.500, 0.500], [0.500, 0.000, 0.840], [0.667, 0.333, 0.330], [0.000, 0.500, 0.160], [0.500, 0.000, 0.500], [0.333, 0.667, 0.670], [0.500, 0.500, 0.160], [0.000, 0.500, 0.840], [0.500, 0.500, 0.840], [0.333, 0.667, 0.330], [0.667, 0.333, 0.670], [0.333, 0.667, 0.000], [0.667, 0.333, 0.000], [0.000, 0.000, 0.332], [0.000, 0.000, 0.668], [0.000, 0.000, 0.000]]}


{"formula": "Ac2La4Pr5", "functional": "PBE", "state": "optimized geometry", "final_energy_ev_per_fu": -50.466, "volume_a3_per_atom": 38.50, "relative_energy_mev_per_atom": 24, "n_ef_per_ev_atom": 1.72, "formation_energy_ev_per_atom": 0.123, "lattice_angstrom": [[-1.059, 4.954, -4.852], [-9.049, 0.870, -2.207], [-8.667, 5.843, 2.788]], "species": ["Pr", "Pr", "Pr", "Pr", "Pr", "Ac", "Ac", "La", "La", "La", "La"], "frac_coords": [[0.350, 0.729, 0.097], [0.650, 0.271, 0.903], [0.000, 0.500, 0.500], [0.824, 0.729, 0.097], [0.176, 0.271, 0.903], [0.801, 0.081, 0.318], [0.199, 0.919, 0.682], [0.754, 0.666, 0.827], [0.246, 0.334, 0.173], [0.413, 0.772, 0.403], [0.587, 0.228, 0.597]]}


{"formula": "AcLa6Pr4", "functional": "PBE", "state": "optimized geometry", "final_energy_ev_per_fu": -49.687, "volume_a3_per_atom": 39.25, "relative_energy_mev_per_atom": 93, "n_ef_per_ev_atom": 1.42, "formation_energy_ev_per_atom": 0.282, "lattice_angstrom": [[-5.440, 3.029, -5.018], [4.124, -2.887, -6.214], [-2.858, -5.824, 5.955]], "species": ["La", "La", "La", "La", "La", "La", "Pr", "Pr", "Pr", "Pr", "Ac"], "frac_coords": [[0.548, 0.548, 0.610], [0.452, 0.938, 0.390], [0.938, 0.452, 0.390], [0.500, 0.000, 0.000], [0.062, 0.062, 0.610], [0.000, 0.500, 0.000], [0.246, 0.246, 0.155], [0.754, 0.091, 0.845], [0.909, 0.909, 0.155], [0.091, 0.754, 0.845], [0.500, 0.500, 0.000]]}


{"formula": "Ac2La4Pr7", "functional": "PBE", "state": "optimized geometry", "final_energy_ev_per_fu": -61.137, "volume_a3_per_atom": 37.76, "n_ef_per_ev_atom": 1.89, "formation_energy_ev_per_atom": 0.019, "lattice_angstrom": [[9.225, 3.555, -1.175], [-0.310, 6.456, -0.804], [-0.826, -1.213, 8.313]], "species": ["La", "La", "La", "La", "Pr", "Pr", "Pr", "Pr", "Pr", "Pr", "Pr", "Ac", "Ac"], "frac_coords": [[0.848, 0.921, 0.537], [0.773, 0.384, 0.314], [0.152, 0.079, 0.463], [0.227, 0.616, 0.686], [0.000, 0.000, 0.000], [0.461, 0.231, 0.384], [0.074, 0.536, 0.230], [0.539, 0.769, 0.616], [0.695, 0.848, 0.080], [0.305, 0.152, 0.920], [0.926, 0.464, 0.770], [0.382, 0.694, 0.155], [0.618, 0.306, 0.845]]}


{"formula": "Ac3La8Pr2", "functional": "PBE", "state": "optimized geometry", "final_energy_ev_per_fu": -58.599, "volume_a3_per_atom": 39.97, "n_ef_per_ev_atom": 1.76, "formation_energy_ev_per_atom": 0.208, "lattice_angstrom": [[-4.365, 3.080, -2.701], [-4.033, 0.405, 6.979], [7.047, 9.002, -1.117]], "species": ["Pr", "Pr", "La", "La", "La", "La", "La", "La", "La", "La", "Ac", "Ac", "Ac"], "frac_coords": [[0.501, 0.759, 0.518], [0.499, 0.241, 0.482], [0.500, 0.415, 0.222], [0.500, 0.585, 0.778], [0.000, 0.678, 0.355], [0.000, 0.322, 0.645], [0.999, 0.136, 0.273], [0.500, 0.807, 0.222], [0.001, 0.864, 0.727], [0.500, 0.193, 0.778], [0.000, 0.718, 0.000], [0.000, 0.282, 0.000], [0.500, 0.000, 0.000]]}


{"formula": "AcLa8Pr6", "functional": "PBE", "state": "optimized geometry", "final_energy_ev_per_fu": -70.412, "volume_a3_per_atom": 37.39, "relative_energy_mev_per_atom": 0, "n_ef_per_ev_atom": 1.63, "formation_energy_ev_per_atom": 0.120, "lattice_angstrom": [[9.696, 0.000, 0.000], [4.848, 8.397, 0.000], [4.848, 2.799, 6.889]], "species": ["Pr", "Pr", "Pr", "Pr", "Pr", "Pr", "La", "La", "La", "La", "La", "La", "La", "La", "Ac"], "frac_coords": [[0.731, 0.446, 0.927], [0.895, 0.731, 0.927], [0.446, 0.895, 0.927], [0.269, 0.554, 0.073], [0.105, 0.269, 0.073], [0.554, 0.105, 0.073], [0.083, 0.655, 0.491], [0.771, 0.083, 0.491], [0.229, 0.917, 0.509], [0.917, 0.345, 0.509], [0.427, 0.427, 0.719], [0.655, 0.771, 0.491], [0.573, 0.573, 0.281], [0.345, 0.229, 0.509], [0.000, 0.000, 0.000]]}


{"formula": "AcLa6Pr", "functional": "PBE", "state": "optimized geometry", "final_energy_ev_per_fu": -38.407, "volume_a3_per_atom": 37.35, "n_ef_per_ev_atom": 1.72, "formation_energy_ev_per_atom": 0.006, "lattice_angstrom": [[-2.024, -4.819, 0.915], [4.904, -2.002, 0.304], [0.138, 1.924, 10.437]], "species": ["Pr", "La", "La", "La", "La", "La", "La", "Ac"], "frac_coords": [[0.000, 0.000, 0.500], [0.500, 0.500, 0.500], [0.000, 0.500, 0.745], [0.500, 0.500, 0.000], [0.500, 0.000, 0.255], [0.500, 0.000, 0.745], [0.000, 0.500, 0.255], [0.000, 0.000, 0.000]]}


{"formula": "AcLa8Pr2", "functional": "PBE", "state": "optimized geometry", "final_energy_ev_per_fu": -52.968, "volume_a3_per_atom": 37.31, "relative_energy_mev_per_atom": 0, "n_ef_per_ev_atom": 1.91, "formation_energy_ev_per_atom": 0.011, "lattice_angstrom": [[-1.356, -4.817, -1.765], [6.594, -3.314, 3.977], [-6.496, 2.112, 7.202]], "species": ["La", "La", "La", "La", "La", "La", "La", "La", "Pr", "Pr", "Ac"], "frac_coords": [[0.591, 0.459, 0.183], [0.317, 0.090, 0.634], [0.047, 0.724, 0.093], [0.862, 0.813, 0.723], [0.138, 0.187, 0.277], [0.409, 0.541, 0.817], [0.953, 0.276, 0.907], [0.683, 0.910, 0.366], [0.772, 0.363, 0.545], [0.228, 0.637, 0.455], [0.500, 0.000, 0.000]]}


{"formula": "AcLa4Pr5", "functional": "PBE", "state": "optimized geometry", "final_energy_ev_per_fu": -47.506, "volume_a3_per_atom": 37.54, "relative_energy_mev_per_atom": 3, "n_ef_per_ev_atom": 2.05, "formation_energy_ev_per_atom": 0.021, "lattice_angstrom": [[-0.201, -1.921, -3.245], [-0.751, -3.164, 1.919], [-25.758, 5.210, -1.489]], "species": ["Pr", "Pr", "Pr", "Pr", "Pr", "La", "La", "La", "La", "Ac"], "frac_coords": [[0.500, 0.500, 0.105], [0.500, 0.500, 0.500], [0.500, 0.500, 0.302], [0.500, 0.500, 0.698], [0.500, 0.500, 0.895], [0.000, 0.000, 0.797], [0.000, 0.000, 0.203], [0.000, 0.000, 0.599], [0.000, 0.000, 0.401], [0.000, 0.000, 0.000]]}


{"formula": "Ac14LaPr", "functional": "PBE", "state": "optimized geometry", "final_energy_ev_per_fu": -66.926, "volume_a3_per_atom": 44.23, "n_ef_per_ev_atom": 2.05, "formation_energy_ev_per_atom": 0.019, "lattice_angstrom": [[-2.393, -4.667, 5.936], [7.192, -3.307, 0.299], [3.277, 7.801, 7.454]], "species": ["Ac", "Ac", "Ac", "Ac", "Ac", "Ac", "Ac", "Ac", "Ac", "Ac", "Ac", "Ac", "Ac", "Ac", "La", "Pr"], "frac_coords": [[0.876, 0.626, 0.500], [0.625, 0.375, 0.753], [0.125, 0.875, 0.244], [0.625, 0.875, 0.245], [0.875, 0.125, 0.500], [0.625, 0.375, 0.247], [0.125, 0.375, 0.755], [0.125, 0.375, 0.245], [0.125, 0.875, 0.756], [0.625, 0.875, 0.755], [0.375, 0.625, 0.500], [0.376, 0.126, 0.000], [0.874, 0.624, 0.000], [0.374, 0.124, 0.500], [0.375, 0.625, 0.000], [0.875, 0.125, 0.000]]}


{"formula": "AcLa8Pr6", "functional": "PBE", "state": "optimized geometry", "final_energy_ev_per_fu": -69.287, "volume_a3_per_atom": 38.64, "relative_energy_mev_per_atom": 75, "n_ef_per_ev_atom": 1.67, "formation_energy_ev_per_atom": 0.195, "lattice_angstrom": [[-3.872, 4.708, 6.555], [2.497, -2.605, 8.192], [5.570, 5.748, 4.007]], "species": ["Pr", "Pr", "Pr", "Pr", "Pr", "Pr", "La", "La", "La", "La", "La", "La", "La", "La", "Ac"], "frac_coords": [[0.375, 0.650, 0.101], [0.650, 0.101, 0.375], [0.350, 0.899, 0.625], [0.625, 0.350, 0.899], [0.899, 0.625, 0.350], [0.101, 0.375, 0.650], [0.763, 0.763, 0.763], [0.237, 0.237, 0.237], [0.573, 0.880, 0.177], [0.823, 0.427, 0.120], [0.177, 0.573, 0.880], [0.880, 0.177, 0.573], [0.427, 0.120, 0.823], [0.120, 0.823, 0.427], [0.000, 0.000, 0.000]]}